Ge4Rh, optimized geometry, DFT GGA-PBE; energy relative to the elements = 28.8 kJ/mol of atoms; DFT total energy = -4.8657 eV/atom
1.0
4.790 0.000 0.000
0.000 4.790 0.000
0.000 0.000 4.790
Ge Rh
4 1
Direct
0.000 0.000 0.000
0.000 0.500 0.500
0.500 0.000 0.500
0.500 0.500 0.000
0.500 0.500 0.500



Rb3UPb3Se8, optimized geometry, DFT GGA-PBE; uncorrected formation energy = -0.87 eV per atom; DFT total energy = -4.4175 eV/atom
1.0
4.360 2.517 8.162
-4.360 2.517 8.162
0.000 -5.035 8.162
Rb U Pb Se
3 1 3 8
Direct
0.000 0.500 0.500
0.500 0.000 0.500
0.500 0.500 0.000
0.500 0.500 0.500
0.000 0.000 0.500
0.000 0.500 0.000
0.500 0.000 0.000
0.236 0.236 0.236
0.266 0.712 0.712
0.288 0.288 0.734
0.288 0.734 0.288
0.712 0.266 0.712
0.712 0.712 0.266
0.734 0.288 0.288
0.764 0.764 0.764



CsLi2Pa2S6, optimized geometry, DFT GGA-PBE; uncorrected formation energy = -1.45 eV per atom; DFT total energy = -5.8573 eV/atom
1.0
6.954 0.000 0.000
1.735 7.069 0.000
0.843 3.534 6.353
Cs Li Pa S
1 2 2 6
Direct
0.000 0.000 0.000
0.500 0.379 0.247
0.500 0.621 0.753
0.000 0.332 0.335
0.000 0.668 0.665
0.235 0.517 0.432
0.235 0.947 0.570
0.250 0.399 0.001
0.750 0.601 0.999
0.765 0.053 0.430
0.765 0.483 0.568



CeSmSiGe, optimized geometry, DFT GGA-PBE; uncorrected formation energy = -0.74 eV per atom; DFT total energy = -5.9089 eV/atom
1.0
3.968 0.000 0.000
0.000 2.216 5.444
0.000 -2.216 5.444
Ce Sm Si Ge
1 1 1 1
Direct
0.000 0.000 0.000
0.500 0.278 0.278
0.500 0.560 0.560
0.000 0.715 0.715



Pm2SmAgTe5, optimized geometry, DFT GGA-PBE; uncorrected formation energy = -1.17 eV per atom; DFT total energy = -4.8136 eV/atom
1.0
2.198 -9.479 0.000
2.198 9.479 0.000
0.000 0.000 13.356
Pm Sm Ag Te
4 2 2 10
Direct
0.111 0.889 0.500
0.125 0.875 0.119
0.875 0.125 0.619
0.889 0.111 0.000
0.193 0.807 0.823
0.807 0.193 0.323
0.433 0.567 0.275
0.567 0.433 0.775
0.041 0.959 0.893
0.287 0.713 0.486
0.308 0.692 0.152
0.359 0.641 0.813
0.498 0.502 0.593
0.502 0.498 0.093
0.641 0.359 0.313
0.692 0.308 0.652
0.713 0.287 0.986
0.959 0.041 0.393



BaCdGa2Au, optimized geometry, DFT GGA-PBE; energy relative to the elements = -45.0 kJ/mol of atoms; DFT total energy = -2.8997 eV/atom
1.0
6.154 -2.335 0.000
6.154 2.335 0.000
-1.763 0.000 4.323
Ba Cd Ga Au
1 1 2 1
Direct
0.000 0.000 0.000
0.744 0.744 0.243
0.251 0.251 0.751
0.616 0.616 0.615
0.384 0.384 0.384



Rb2ScTiGe, optimized geometry, DFT GGA-PBE; energy relative to the elements = 90.4 kJ/mol of atoms; DFT total energy = -3.2194 eV/atom
1.0
6.658 0.000 0.000
0.000 6.658 0.000
0.000 0.000 5.042
Rb Sc Ti Ge
2 1 1 1
Direct
0.000 0.500 0.000
0.500 0.000 0.000
0.000 0.000 0.500
0.500 0.500 0.500
0.500 0.500 0.000



CdIn3Au12, optimized geometry, DFT GGA-PBE; energy relative to the elements = -10.3 kJ/mol of atoms; DFT total energy = -3.1355 eV/atom
1.0
4.220 0.000 0.000
0.000 4.220 0.000
0.000 0.000 16.967
Cd In Au
1 3 12
Direct
0.000 0.000 0.000
0.000 0.000 0.249
0.000 0.000 0.500
0.000 0.000 0.751
0.000 0.500 0.124
0.000 0.500 0.374
0.000 0.500 0.626
0.000 0.500 0.876
0.500 0.000 0.124
0.500 0.000 0.374
0.500 0.000 0.626
0.500 0.000 0.876
0.500 0.500 0.000
0.500 0.500 0.250
0.500 0.500 0.500
0.500 0.500 0.750



Magnetization values, unit Bohr magnetons per cell, following the record order: 0.0, 0.8, 1.1, 0.8, 0.0, 0.0, 3.0, 0.0.